1.
VASP calculation (PBE) on a relaxed K3IrF6 crystal.

Cell: 6.692 6.692 6.696 Å, 102.95 102.95 103.18°
Positions (direct):
K: 0.000 0.000 0.000
K: 0.000 0.500 0.500
K: 0.500 0.000 0.500
Ir: 0.000 0.000 0.500
F: 0.069 0.780 0.279
F: 0.220 0.931 0.721
F: 0.221 0.221 0.431
F: 0.779 0.779 0.569
F: 0.780 0.069 0.279
F: 0.931 0.220 0.721

**Formation energy from raw total energies**: -216.11 kJ per mole of atoms


2.
VASP calculation (PBE) on a relaxed Ca3TiPb crystal.

Cell: 5.753 5.753 5.753 Å, 90.00 90.00 90.00°
Positions (direct):
Ca: 0.000 0.000 0.500
Ca: 0.000 0.500 0.000
Ca: 0.500 0.000 0.000
Ti: 0.000 0.000 0.000
Pb: 0.500 0.500 0.500

**Energy relative to the lowest polymorph listed for this composition**: 0.0 meV per atom
**Formation enthalpy at 0 K**: 0.622 eV per atom


3.
VASP calculation (PBE) on a relaxed NaCeCl4 crystal.

Cell: 8.092 8.092 6.888 Å, 110.84 110.84 112.63°
Positions (direct):
Na: 0.078 0.922 0.750
Na: 0.922 0.078 0.250
Ce: 0.369 0.631 0.250
Ce: 0.631 0.369 0.750
Cl: 0.062 0.639 0.884
Cl: 0.248 0.315 0.759
Cl: 0.315 0.248 0.259
Cl: 0.361 0.938 0.616
Cl: 0.639 0.062 0.384
Cl: 0.685 0.752 0.741
Cl: 0.752 0.685 0.241
Cl: 0.938 0.361 0.116

**Energy relative to the lowest polymorph listed for this composition**: 0.0 meV per atom
**Formation energy from raw total energies**: -200.09 kJ per mole of atoms


4.
VASP calculation (PBE) on a relaxed HfRe3B crystal.

Cell: 4.197 4.197 4.197 Å, 90.00 90.00 90.00°
Positions (direct):
Hf: 0.000 0.000 0.000
Re: 0.000 0.500 0.500
Re: 0.500 0.000 0.500
Re: 0.500 0.500 0.000
B: 0.500 0.500 0.500

**Energy relative to the lowest polymorph listed for this composition**: 0.0 meV per atom
**Formation enthalpy at 0 K**: -0.077 eV per atom


5.
VASP calculation (PBE) on a relaxed Ga2AgSn4 crystal.

Cell: 6.970 7.262 7.789 Å, 108.53 106.29 100.18°
Positions (direct):
Ga: 0.000 0.000 0.000
Ga: 0.003 0.526 0.229
Ga: 0.493 0.518 0.783
Ga: 0.945 0.481 0.544
Ag: 0.247 0.253 0.891
Ag: 0.490 0.011 0.386
Sn: 0.131 0.135 0.477
Sn: 0.212 0.683 0.007
Sn: 0.307 0.851 0.675
Sn: 0.376 0.376 0.310
Sn: 0.639 0.163 0.091
Sn: 0.708 0.781 0.596
Sn: 0.737 0.789 0.190
Sn: 0.799 0.288 0.777

**Formation enthalpy at 0 K**: 0.068 eV per atom


6.
VASP calculation (PBE) on a relaxed LaMg2Fe2 crystal.

Cell: 4.242 4.242 11.507 Å, 90.00 90.00 90.00°
Positions (direct):
La: 0.000 0.000 0.000
La: 0.500 0.500 0.500
Mg: 0.000 0.500 0.250
Mg: 0.000 0.500 0.750
Mg: 0.500 0.000 0.250
Mg: 0.500 0.000 0.750
Fe: 0.000 0.000 0.408
Fe: 0.000 0.000 0.592
Fe: 0.500 0.500 0.092
Fe: 0.500 0.500 0.908

**Energy relative to the lowest polymorph listed for this composition**: 0.0 meV per atom
**Formation enthalpy at 0 K**: 0.163 eV per atom


One value per record, in order, for magnetization: 0.2 3.9 2.0 0.0 0.0 6.2 Bohr magnetons per cell.
One value per record, in order, for total energy: -4.578 -2.899 -4.514 -10.872 -3.491 -4.845 eV per atom.